# NaPuNiO4

A geometry-optimized NaPuNiO4 structure (PBE+U, Alexandria via LeMat-Bulk).

Cell and atoms, written as POSCAR:
```
NaPuNiO4
1.0
-2.156 2.156 5.504
2.156 -2.156 5.504
2.156 2.156 -5.504
Na Pu Ni O
1 1 1 4
direct
0.000 0.000 0.000
0.634 0.634 0.000
0.279 0.279 0.000
0.136 0.636 0.500
0.458 0.458 0.000
0.636 0.136 0.500
0.804 0.804 0.000
```

Values from the calculation:
total DFT energy (no corrections)	-7.176	eV per atom
magnetization	1.000	μB/f.u.